RbHg2AsC | PBE | optimized geometry

Cell: 7.724 7.724 6.774 Å, 90.00 90.00 90.00°
Space group P4/mmm (No. 123)
Asymmetric unit:
Rb1 0.000 0.000 0.000 (multiplicity 1)
Hg1 0.000 0.500 0.000 (multiplicity 2)
As1 0.000 0.000 0.500 (multiplicity 1)
C1 0.500 0.500 0.500 (multiplicity 1)

calculated formation energy	1847	meV per atom
theoretical density	2357	kg/m3

***

NdY6ErTm2 | PBE | optimized geometry

Cell: 9.129 14.901 9.657 Å, 90.00 98.67 90.00°
Space group C2/c (No. 15)
Asymmetric unit:
Nd1 0.000 0.094 0.250 (multiplicity 4)
Y1 0.064 0.318 0.444 (multiplicity 8)
Y2 0.100 0.105 0.619 (multiplicity 8)
Y3 0.202 0.275 0.818 (multiplicity 8)
Er1 0.000 0.475 0.750 (multiplicity 4)
Tm1 0.242 0.450 0.046 (multiplicity 8)

calculated formation energy	122	meV per atom
theoretical density	6049	kg/m3

***

AlTcSn2Rh | PBE | optimized geometry

Cell: 5.129 5.129 4.761 Å, 90.00 90.00 90.00°
Space group P4/mmm (No. 123)
Asymmetric unit:
Al1 0.000 0.000 0.000 (multiplicity 1)
Tc1 0.500 0.500 0.500 (multiplicity 1)
Sn1 0.000 0.500 0.500 (multiplicity 2)
Rh1 0.500 0.500 0.000 (multiplicity 1)

calculated formation energy	706	meV per atom
theoretical density	6168	kg/m3

***

YZnPb | PBE | optimized geometry

Cell: 3.6027 3.6027 7.1297 Å, 90.00 90.00 120.00°
Space group P3m1 (No. 156)
Asymmetric unit:
Y1 0.0000 0.0000 0.0000 (multiplicity 1)
Zn1 0.6667 0.3333 0.3174 (multiplicity 1)
Pb1 0.3333 0.6667 0.6226 (multiplicity 1)

calculated formation energy	-45	meV per atom
theoretical density	7491	kg/m3